1.
BaSrLiMg2, relaxed, DFT PBE; crystal system = tetragonal; energy above the lowest structure with this stoichiometry = 0 meV/atom; mass density = 2.623 g/cm3
1.0
-4.9870 -1.3444 2.0881
1.2618 -5.4062 -0.4671
2.1965 0.0563 5.2822
Sr Mg Ba Li
1 2 1 1
Direct
0.0000 0.0000 0.5000
0.0000 0.5000 0.0000
0.5000 0.0000 0.0000
0.5000 0.5000 0.5000
0.0000 0.0000 0.0000


2.
Ba2SrLiMg, relaxed, DFT PBE; crystal system = tetragonal; DFT total energy = -1.644 eV per atom; mass density = 2.758 g/cm3
1.0
6.5764 0.0000 0.0000
0.0000 6.5764 0.0000
0.0000 0.0000 5.4775
Sr Mg Ba Li
1 1 2 1
Direct
0.5000 0.5000 0.5000
0.0000 0.0000 0.5000
0.0000 0.5000 0.0000
0.5000 0.0000 0.0000
0.0000 0.0000 0.0000


3.
Ba5Sr2LiMg2, relaxed, DFT PBE; crystal system = tetragonal; DFT total energy = -1.763 eV per atom; mass density = 2.986 g/cm3
1.0
-0.0095 -3.9783 -1.9615
13.3058 3.1939 -6.5424
7.2803 -5.8981 11.9271
Ba Sr Li Mg
10 4 2 4
Direct
0.5000 0.1964 0.0441
0.5000 0.8036 0.9559
0.5000 0.0441 0.8036
0.5000 0.6964 0.4559
0.5000 0.9559 0.1964
0.5000 0.3036 0.5441
0.5000 0.5441 0.6964
0.5000 0.4559 0.3036
0.5000 0.5000 0.0000
0.5000 0.0000 0.5000
0.0000 0.6883 0.1883
0.0000 0.3117 0.8117
0.0000 0.1883 0.3117
0.0000 0.8117 0.6883
0.0000 0.0000 0.0000
0.0000 0.5000 0.5000
0.0000 0.1370 0.6370
0.0000 0.8630 0.3630
0.0000 0.6370 0.8630
0.0000 0.3630 0.1370


4.
BaSrLiMg2, relaxed, DFT PBE; crystal system = tetragonal; energy above the lowest structure with this stoichiometry = 51 meV/atom; mass density = 2.587 g/cm3
1.0
-0.9987 3.6704 4.1166
-5.5152 -0.6463 -0.7618
-0.0247 -4.2809 3.8109
Sr Mg Ba Li
1 2 1 1
Direct
0.5000 0.5000 0.5000
0.0000 0.5000 0.0000
0.5000 0.0000 0.0000
0.0000 0.0000 0.5000
0.0000 0.0000 0.0000


5.
BaLiTbMg, relaxed, DFT PBE; crystal system = cubic; DFT total energy = -2.383 eV per atom; mass density = 4.040 g/cm3
1.0
5.7526 0.0000 0.0000
2.8763 4.9819 0.0000
2.8763 1.6606 4.6969
Mg Tb Ba Li
1 1 1 1
Direct
0.5000 0.5000 0.5000
0.7500 0.7500 0.7500
0.2500 0.2500 0.2500
0.0000 0.0000 0.0000


6.
BaLiMgTl, relaxed, DFT PBE; crystal system = monoclinic; energy above the lowest structure with this stoichiometry = 0 meV/atom; mass density = 4.732 g/cm3
1.0
-4.7655 -0.9028 -1.3234
2.1037 -2.6044 3.7511
-1.6816 6.1426 1.8649
Ba Li Mg Tl
1 1 1 1
Direct
0.6218 0.2437 0.5065
0.8111 0.6221 0.0759
0.1162 0.2324 0.9911
0.4172 0.8344 0.8939


7.
BaLi2MgTl, relaxed, DFT PBE; crystal system = tetragonal; DFT total energy = -2.004 eV per atom; mass density = 3.949 g/cm3
1.0
5.3791 0.0000 0.0000
0.0000 5.3791 0.0000
0.0000 0.0000 5.5204
Mg Tl Ba Li
1 1 1 2
Direct
0.0000 0.0000 0.5000
0.0000 0.0000 0.0000
0.5000 0.5000 0.5000
0.0000 0.5000 0.0000
0.5000 0.0000 0.0000


8.
BaLi4Mg2Tl, relaxed, DFT PBE; crystal system = trigonal; DFT total energy = -1.960 eV per atom; mass density = 3.295 g/cm3
1.0
-2.1532 1.8918 3.9547
-1.7557 -2.9522 3.4723
7.7032 -0.0901 7.2533
Ba Li Mg Tl
1 4 2 1
Direct
0.0000 0.0000 0.0000
0.4107 0.4107 0.7680
0.8650 0.8650 0.4051
0.1350 0.1350 0.5949
0.5893 0.5893 0.2320
0.7663 0.7663 0.7012
0.2337 0.2337 0.2988
0.5000 0.5000 0.5000


9.
Ba2LiMgTl6, relaxed, DFT PBE; crystal system = monoclinic; DFT total energy = -2.368 eV per atom; mass density = 7.701 g/cm3
1.0
-2.8143 -5.8007 0.3584
7.6725 -4.0216 -4.8527
4.8012 -5.7861 2.2428
Ba Li Mg Tl
2 1 1 6
Direct
0.2554 0.7262 0.4892
0.7446 0.2738 0.5108
0.5000 0.5000 0.0000
0.0000 0.0000 0.0000
0.2413 0.7322 0.0154
0.7434 0.7320 0.0154
0.2530 0.1091 0.4939
0.7587 0.2678 0.9846
0.2566 0.2680 0.9846
0.7470 0.8909 0.5061


10.
Ba2Li2MgTl5, relaxed, DFT PBE; crystal system = tetragonal; DFT total energy = -2.378 eV per atom; mass density = 7.740 g/cm3
1.0
4.0557 0.0000 0.0000
0.0000 11.8829 0.0000
0.0000 0.0000 11.8829
Ba Li Mg Tl
4 4 2 10
Direct
0.0000 0.6819 0.1819
0.0000 0.3181 0.8181
0.0000 0.1819 0.3181
0.0000 0.8181 0.6819
0.0000 0.1186 0.6186
0.0000 0.8814 0.3814
0.0000 0.6186 0.8814
0.0000 0.3814 0.1186
0.0000 0.0000 0.0000
0.0000 0.5000 0.5000
0.5000 0.1996 0.0554
0.5000 0.8004 0.9446
0.5000 0.0554 0.8004
0.5000 0.6996 0.4446
0.5000 0.9446 0.1996
0.5000 0.3004 0.5554
0.5000 0.5554 0.6996
0.5000 0.4446 0.3004
0.5000 0.5000 0.0000
0.5000 0.0000 0.5000


11.
BaLiMgTl3, relaxed, DFT PBE; crystal system = orthorhombic; DFT total energy = -2.250 eV per atom; mass density = 7.130 g/cm3
1.0
-4.2350 5.1409 2.8592
-5.8800 -3.3620 -2.6647
2.4054 -1.9946 7.1494
Ba Li Mg Tl
2 2 2 6
Direct
0.7500 0.2897 0.5793
0.2500 0.7103 0.4207
0.2500 0.9492 0.8983
0.7500 0.0508 0.1017
0.2500 0.3697 0.7393
0.7500 0.6303 0.2607
0.2500 0.1515 0.3030
0.0000 0.2736 0.0000
0.5000 0.7264 0.0000
0.5000 0.2736 0.0000
0.0000 0.7264 0.0000
0.7500 0.8485 0.6970


12.
BaLiMgTl, relaxed, DFT PBE; crystal system = cubic; energy above the lowest structure with this stoichiometry = 22 meV/atom; mass density = 5.161 g/cm3
1.0
5.5364 0.0000 0.0000
2.7682 4.7946 0.0000
2.7682 1.5982 4.5204
Mg Tl Ba Li
1 1 1 1
Direct
0.5000 0.5000 0.5000
0.7500 0.7500 0.7500
0.0000 0.0000 0.0000
0.2500 0.2500 0.2500